1.
A plane-wave DFT calculation with PBE-GGA was carried out for crystalline Y4Cd3Ir at its relaxed geometry.

a = 3.611 Å, b = 3.611 Å, c = 15.175 Å
α = 90.00°, β = 90.00°, γ = 90.00°
Positions (direct):
1 Y 0.000 0.000 0.105
2 Y 0.000 0.000 0.370
3 Y 0.000 0.000 0.630
4 Y 0.000 0.000 0.895
5 Cd 0.500 0.500 0.242
6 Cd 0.500 0.500 0.500
7 Cd 0.500 0.500 0.758
8 Ir 0.500 0.500 0.000

Output
Calculated total energy   -41.3 eV/cell
Calculated volume   197.9 Å³ per cell
Formation energy from the elements   -0.48 eV/atom

2.
A plane-wave DFT calculation with PBE-GGA was carried out for crystalline Er2Be3Cu12Si at its relaxed geometry.

a = 7.183 Å, b = 7.183 Å, c = 7.183 Å
α = 63.04°, β = 63.04°, γ = 63.04°
Positions (direct):
1 Er 0.104 0.104 0.104
2 Er 0.896 0.896 0.896
3 Be 0.000 0.500 0.500
4 Be 0.500 0.000 0.500
5 Be 0.500 0.500 0.000
6 Cu 0.121 0.624 0.624
7 Cu 0.158 0.158 0.600
8 Cu 0.158 0.600 0.158
9 Cu 0.376 0.376 0.879
10 Cu 0.376 0.879 0.376
11 Cu 0.400 0.842 0.842
12 Cu 0.600 0.158 0.158
13 Cu 0.624 0.121 0.624
14 Cu 0.624 0.624 0.121
15 Cu 0.842 0.400 0.842
16 Cu 0.842 0.842 0.400
17 Cu 0.879 0.376 0.376
18 Si 0.500 0.500 0.500

Output
Raw formation energy   5.3 eV/f.u.
Calculated total energy   -69.6 eV/cell
Calculated volume   279.7 Å³ per cell

3.
A plane-wave DFT calculation with PBE-GGA was carried out for crystalline BeTcCl3 at its relaxed geometry.

a = 4.914 Å, b = 4.914 Å, c = 4.914 Å
α = 90.00°, β = 90.00°, γ = 90.00°
Positions (direct):
1 Be 0.000 0.000 0.000
2 Tc 0.500 0.500 0.500
3 Cl 0.000 0.500 0.500
4 Cl 0.500 0.000 0.500
5 Cl 0.500 0.500 0.000

Output
Raw formation energy   1.9 eV/f.u.
ΔE to the lowest computed polymorph   230 meV/atom
Calculated total energy   -17.8 eV/cell
Calculated volume   118.7 Å³ per cell

4.
A plane-wave DFT calculation with PBE-GGA was carried out for crystalline BeCrSCl2 at its relaxed geometry.

a = 4.611 Å, b = 4.611 Å, c = 4.873 Å
α = 90.00°, β = 90.00°, γ = 90.00°
Positions (direct):
1 Be 0.000 0.000 0.000
2 Cr 0.500 0.500 0.500
3 S 0.500 0.500 0.000
4 Cl 0.000 0.500 0.500
5 Cl 0.500 0.000 0.500

Output
Raw formation energy   0.6 eV/f.u.
ΔE to the lowest computed polymorph   310 meV/atom
Calculated total energy   -20.5 eV/cell
Calculated volume   103.6 Å³ per cell

Question: Which formula does entry 3 have?
Answer: BeTcCl3

Question: Which formula does entry 3 have?
Answer: BeTcCl3

Question: Among the records above, which one has the lowest calculated total energy?
Answer: Er2Be3Cu12Si

Question: Look up the calculated total energy of the fourth one.
Answer: -20.5 eV/cell